# Na2MnSF

Na2MnSF after structural relaxation (PBE+U, Alexandria via LeMat-Bulk).

Unit cell a=4.093 b=6.436 c=4.093 alpha=90.00 beta=90.00 gamma=90.00
Site moments in Bohr magnetons follow the coordinates.
Sites, in units of the cell vectors:
Na: 0.000 0.000 0.500  -0.02
Na: 0.500 0.000 0.000  -0.03
S: 0.000 0.500 0.000  -0.05
Mn: 0.500 0.500 0.500  4.58
F: 0.000 0.000 0.000  -0.02

The space-group type is P4/mmm (123). The calculation puts the total energy at -4.094 eV per atom.